Record 1
# SiRh3, optimized geometry, DFT PBE-GGA
data_SiRh3
_chemical_formula_sum 'Si1 Rh3'
_space_group_name_H-M_alt 'P 1 2/m 1'
_space_group_IT_number 10
_space_group_name_Hall '-P 2y'
_cell_length_a 2.803
_cell_length_b 3.887
_cell_length_c 5.228
_cell_angle_alpha 90.00
_cell_angle_beta 103.06
_cell_angle_gamma 90.00
loop_
_atom_site_label
_atom_site_type_symbol
_atom_site_fract_x
_atom_site_fract_y
_atom_site_fract_z
Si1 Si 0.000 0.000 0.000
Rh1 Rh 0.000 0.000 0.500
Rh2 Rh 0.373 0.500 0.235
# Formation energy (no corrections) ... -340.3 meV per atom

---

Record 2
# ZnRuW, optimized geometry, DFT PBE-GGA
data_ZnRuW
_chemical_formula_sum 'Zn2 Ru2 W2'
_space_group_name_H-M_alt 'I m m 2'
_space_group_IT_number 44
_space_group_name_Hall 'I 2 -2'
_cell_length_a 2.839
_cell_length_b 3.780
_cell_length_c 8.169
_cell_angle_alpha 90.00
_cell_angle_beta 90.00
_cell_angle_gamma 90.00
loop_
_atom_site_label
_atom_site_type_symbol
_atom_site_fract_x
_atom_site_fract_y
_atom_site_fract_z
Zn1 Zn 0.000 0.000 0.000
Ru1 Ru 0.000 0.000 0.665
W1 W 0.000 0.000 0.329
# Polymorph energy (0 for the lowest one) ... 0.141 eV per atom
# Formation energy ... 0.261 eV per formula unit

---

Record 3
# Te2RhBr, optimized geometry, DFT PBE-GGA
data_Te2RhBr
_chemical_formula_sum 'Te4 Rh2 Br2'
_space_group_name_H-M_alt 'P -1'
_space_group_IT_number 2
_space_group_name_Hall '-P 1'
_cell_length_a 6.485
_cell_length_b 6.492
_cell_length_c 7.029
_cell_angle_alpha 64.90
_cell_angle_beta 79.65
_cell_angle_gamma 63.00
loop_
_atom_site_label
_atom_site_type_symbol
_atom_site_fract_x
_atom_site_fract_y
_atom_site_fract_z
Te1 Te 0.084 0.164 0.337
Te2 Te 0.410 0.488 0.337
Rh1 Rh 0.000 0.500 0.500
Rh2 Rh 0.500 0.000 0.500
Br1 Br 0.255 0.111 0.798
# Formation energy (no corrections) ... -303.9 meV per atom

---

Record 4
# ScAl2In, optimized geometry, DFT PBE-GGA
data_ScAl2In
_chemical_formula_sum 'Sc2 Al4 In2'
_space_group_name_H-M_alt 'C 1 2/m 1'
_space_group_IT_number 12
_space_group_name_Hall '-C 2y'
_cell_length_a 6.051
_cell_length_b 10.135
_cell_length_c 3.114
_cell_angle_alpha 90.00
_cell_angle_beta 120.92
_cell_angle_gamma 90.00
loop_
_atom_site_label
_atom_site_type_symbol
_atom_site_fract_x
_atom_site_fract_y
_atom_site_fract_z
Sc1 Sc 0.000 0.000 0.000
Al1 Al 0.250 0.250 0.000
In1 In 0.000 0.500 0.000
# Formation energy ... -0.486 eV per formula unit

---

Record 5
# TbPr5Sm12, optimized geometry, DFT PBE-GGA
data_TbPr5Sm12
_chemical_formula_sum 'Tb2 Pr10 Sm24'
_space_group_name_H-M_alt 'C 1 2/m 1'
_space_group_IT_number 12
_space_group_name_Hall '-C 2y'
_cell_length_a 11.954
_cell_length_b 17.583
_cell_length_c 5.886
_cell_angle_alpha 90.00
_cell_angle_beta 90.03
_cell_angle_gamma 90.00
loop_
_atom_site_label
_atom_site_type_symbol
_atom_site_fract_x
_atom_site_fract_y
_atom_site_fract_z
Tb1 Tb 0.000 0.000 0.000
Pr1 Pr 0.000 0.136 0.500
Pr2 Pr 0.000 0.362 0.000
Pr3 Pr 0.000 0.500 0.500
Sm1 Sm 0.153 0.320 0.495
Sm2 Sm 0.154 0.179 0.004
Sm3 Sm 0.199 0.000 0.474
Sm4 Sm 0.203 0.500 0.026
# Formation energy ... 1.511 eV per formula unit

---

Record 6
# Sr2LaUN4, optimized geometry, DFT PBE-GGA
data_Sr2LaUN4
_chemical_formula_sum 'Sr2 La1 U1 N4'
_space_group_name_H-M_alt 'P 1 2/m 1'
_space_group_IT_number 10
_space_group_name_Hall '-P 2y'
_cell_length_a 6.355
_cell_length_b 3.673
_cell_length_c 6.367
_cell_angle_alpha 90.00
_cell_angle_beta 109.67
_cell_angle_gamma 90.00
loop_
_atom_site_label
_atom_site_type_symbol
_atom_site_fract_x
_atom_site_fract_y
_atom_site_fract_z
Sr1 Sr 0.000 0.000 0.000
Sr2 Sr 0.500 0.500 0.000
La1 La 0.000 0.500 0.500
U1 U 0.500 0.000 0.500
N1 N 0.281 0.000 0.698
N2 N 0.286 0.500 0.296
# Formation energy (no corrections) ... -1173.4 meV per atom

---

Record 7
# Tc5Ru4, optimized geometry, DFT PBE-GGA
data_Tc5Ru4
_chemical_formula_sum 'Tc10 Ru8'
_space_group_name_H-M_alt 'P 63/m c m'
_space_group_IT_number 193
_space_group_name_Hall '-P 6c 2'
_cell_length_a 7.4492
_cell_length_b 7.4492
_cell_length_c 5.4236
_cell_angle_alpha 90.00
_cell_angle_beta 90.00
_cell_angle_gamma 120.00
loop_
_atom_site_label
_atom_site_type_symbol
_atom_site_fract_x
_atom_site_fract_y
_atom_site_fract_z
Tc1 Tc 0.0000 0.3344 0.2500
Tc2 Tc 0.3333 0.6667 0.0000
Ru1 Ru 0.0000 0.0000 0.0000
Ru2 Ru 0.0000 0.3328 0.7500
# Polymorph energy (0 for the lowest one) ... 0.018 eV per atom
# Formation energy ... 0.771 eV per formula unit

---

Record 8
# BaGaH5, optimized geometry, DFT PBE-GGA
data_BaGaH5
_chemical_formula_sum 'Ba2 Ga2 H10'
_space_group_name_H-M_alt 'I m m 2'
_space_group_IT_number 44
_space_group_name_Hall 'I 2 -2'
_cell_length_a 4.933
_cell_length_b 4.942
_cell_length_c 6.983
_cell_angle_alpha 90.00
_cell_angle_beta 90.00
_cell_angle_gamma 90.00
loop_
_atom_site_label
_atom_site_type_symbol
_atom_site_fract_x
_atom_site_fract_y
_atom_site_fract_z
Ba1 Ba 0.000 0.000 0.000
Ga1 Ga 0.000 0.000 0.500
H1 H 0.000 0.265 0.632
H2 H 0.000 0.500 0.251
H3 H 0.235 0.500 0.868
# Polymorph energy (0 for the lowest one) ... 0.024 eV per atom

---

no.,spin magnetization (μB per cell)
1,0.0
2,0.0
3,0.0
4,0.5
5,0.0
6,0.8
7,0.0
8,0.0